(1)
Entry from Alexandria via LeMat-Bulk: LiTlIn2 after structural relaxation (PBEsol).

Computed properties:
* energy: -11.081 eV/f.u.
* density of states at the Fermi level: 0.40 states/eV per atom
* energy relative to the elements: -0.1295 eV per atom

a b c (Å): 4.533 4.533 9.119
angles (deg): 90.00 90.00 90.00
Space group I-4m2 (No. 119)
Unique sites:
1 Li 0.000 0.000 0.000
2 Tl 0.000 0.500 0.250
3 In 0.000 0.000 0.500
4 In 0.000 0.500 0.750

=====

(2)
Entry from Alexandria via LeMat-Bulk: LiTlIn2 after structural relaxation (PBEsol).

Computed properties:
* energy: -11.056 eV/f.u.
* density of states at the Fermi level: 0.36 states/eV per atom
* energy relative to the elements: -0.1233 eV per atom

a b c (Å): 10.152 3.401 5.537
angles (deg): 90.00 99.31 90.00
Space group Cm (No. 8)
Unique sites:
1 Li 0.000 0.000 0.000
2 Tl 0.249 0.500 0.229
3 In 0.004 0.500 0.507
4 In 0.255 0.000 0.750

=====

(3)
Entry from Alexandria via LeMat-Bulk: Li3TlIn after structural relaxation (PBEsol).

Computed properties:
* energy: -10.742 eV/f.u.
* density of states at the Fermi level: 0.74 states/eV per atom
* energy relative to the elements: 0.1543 eV per atom

a b c (Å): 5.100 5.100 5.100
angles (deg): 90.00 90.00 90.00
Space group Pm-3m (No. 221)
Unique sites:
1 Li 0.000 0.000 0.500
2 Tl 0.500 0.500 0.500
3 In 0.000 0.000 0.000